[1]
! PBE CuRe2Ir, relaxed; values from VASP
! DFT formation energy (eV/atom): 0.1432
! DFT total energy (eV per atom): -9.320
! Symmetry: No. 12
! Energy above the lowest structure with this stoichiometry (meV/atom): 50
&SYSTEM
  ibrav = 0, nat = 4, ntyp = 3
/
ATOMIC_SPECIES
Cu 63.55 Cu.upf
Ir 192.22 Ir.upf
Re 186.21 Re.upf
ATOMIC_POSITIONS angstrom
Cu -2.660 0.632 -0.076
Ir -7.980 1.895 -0.229
Re -2.548 1.299 3.654
Re -5.269 1.258 -0.115
CELL_PARAMETERS angstrom
-3.754 1.926 -2.242
-4.390 -0.693 -1.755
-2.497 1.294 3.692

[2]
! PBE ErMnZn, relaxed; values from VASP
! DFT formation energy (eV/atom): -0.0964
! DFT total energy (eV per atom): -5.099
! Symmetry: No. 166
&SYSTEM
  ibrav = 0, nat = 18, ntyp = 3
/
ATOMIC_SPECIES
Er 167.26 Er.upf
Mn 54.94 Mn.upf
Zn 65.41 Zn.upf
ATOMIC_POSITIONS angstrom
Er 7.715 4.454 10.320
Er 2.572 1.485 2.954
Er 2.572 1.485 11.554
Er 7.715 4.454 1.720
Er 2.572 1.485 6.054
Er 7.715 4.454 7.220
Mn 3.768 3.764 4.457
Mn 5.143 1.381 4.457
Mn 6.519 3.764 4.457
Mn 6.519 2.175 8.817
Mn 5.143 4.558 8.817
Mn 3.768 2.175 8.817
Zn 5.143 2.969 10.892
Zn 5.143 2.969 2.382
Zn 1.286 2.227 0.000
Zn 2.572 0.000 0.000
Zn 3.857 2.227 0.000
Zn 5.143 2.969 6.637
CELL_PARAMETERS angstrom
5.143 0.000 0.000
2.572 4.454 0.000
2.572 1.485 13.274

Which formula does entry 1 have? CuRe2Ir

The lowest DFT formation energy belongs to which entry? ErMnZn

Which of these has the highest DFT formation energy? CuRe2Ir